(1)
The following is a DFT calculation (PBE) of crystalline CeErH at its relaxed geometry.

The structure in CIF format:
```
data_CeErH
_symmetry_space_group_name_H-M 'P 1'
_symmetry_Int_Tables_number 1
_symmetry_space_group_name_Hall 'P 1'
_cell_length_a 3.4890
_cell_length_b 3.4890
_cell_length_c 5.8145
_cell_angle_alpha 90.00
_cell_angle_beta 90.00
_cell_angle_gamma 120.00
loop_
_atom_site_label
_atom_site_fract_x
_atom_site_fract_y
_atom_site_fract_z
Ce1 0.0000 0.0000 0.0000
Er1 0.6667 0.3333 0.5080
H1 0.3333 0.6667 0.7385
```

Values from the calculation:
SG: No. 156

(2)
The following is a DFT calculation (PBE) of crystalline AcGa3Ni2 at its relaxed geometry.

The structure in CIF format:
```
data_AcGa3Ni2
_symmetry_space_group_name_H-M 'P 1'
_symmetry_Int_Tables_number 1
_symmetry_space_group_name_Hall 'P 1'
_cell_length_a 6.4835
_cell_length_b 6.4835
_cell_length_c 5.2474
_cell_angle_alpha 90.00
_cell_angle_beta 90.00
_cell_angle_gamma 75.53
loop_
_atom_site_label
_atom_site_fract_x
_atom_site_fract_y
_atom_site_fract_z
Ac1 0.1607 0.8393 0.7500
Ac2 0.8393 0.1607 0.2500
Ga1 0.0253 0.5873 0.2500
Ga2 0.4127 0.9747 0.2500
Ga3 0.4326 0.5674 0.2500
Ga4 0.5674 0.4326 0.7500
Ga5 0.5873 0.0253 0.7500
Ga6 0.9747 0.4127 0.7500
Ni1 0.2988 0.2988 0.0000
Ni2 0.2988 0.2988 0.5000
Ni3 0.7012 0.7012 0.0000
Ni4 0.7012 0.7012 0.5000
```

Values from the calculation:
SG: No. 63
ΔE_f: -0.53 eV per atom

| no. | energy relative to the lowest polymorph listed for this composition (meV per atom) | total energy (eV per atom) |
| --- | --- | --- |
| 1 | 41 | -4.795 |
| 2 | 0 | -4.656 |